(1)
An optimized crystal structure of AsPtW2. Source: Alexandria via LeMat-Bulk, functional GGA-PBE.

Structure (POSCAR):
```
AsPtW2
1.0
4.948 0.000 0.000
1.801 4.608 0.000
-3.374 -2.304 2.790
As W Pt
1 2 1
direct
0.500 0.500 0.000
0.000 0.000 0.000
0.250 0.750 0.500
0.750 0.250 0.500
```

Computed properties:
As for the crystal system: tetragonal. The total energy comes out at -8.810 eV per atom. As for the space-group type: I-4m2 (119).

***

(2)
An optimized crystal structure of Er3Tm3Co4. Source: Alexandria via LeMat-Bulk, functional GGA-PBE.

Structure (POSCAR):
```
Er3Tm3Co4
1.0
4.120 0.000 0.000
0.000 7.100 -0.034
0.000 0.028 7.100
Er Tm Co
3 3 4
direct
0.000 0.500 0.000
0.000 0.000 0.500
0.500 0.172 0.828
0.500 0.827 0.173
0.500 0.328 0.327
0.500 0.673 0.672
0.000 0.613 0.387
0.000 0.388 0.612
0.000 0.886 0.888
0.000 0.112 0.114
```

Computed properties:
As for the crystal system: orthorhombic. The total energy comes out at -5.750 eV per atom. As for the space-group type: Amm2 (38).